(1)
CuP2Au after structural relaxation. Source: Alexandria, functional PBE.

Cell: 4.9085 4.9085 4.9085 Å, 133.16 133.16 68.40°
With the nearest neighbours (Å) after each atom.
Positions (direct):
Au1 0.5000 0.5000 0.0000  8 P 2.76-2.82, 4 Cu 2.82
Cu1 0.7500 0.2500 0.5000  8 P 2.76-2.82, 4 Au 2.82
P1 0.0000 0.0000 0.0000  4 Au 2.76, 4 Cu 2.82, 4 P 2.82
P2 0.2500 0.7500 0.5000  4 Cu 2.76, 4 P 2.82, 4 Au 2.82

N(E_F) (states/eV/atom): 0.472
Uncorrected energy (eV per atom): -4.08
V (Å³ per atom): 15.5
Energy relative to the lowest polymorph listed for this composition (eV/atom): 0.482
SG: No. 119
Formation enthalpy at 0 K (eV per atom): 0.4645

***

(2)
CuPAu2 after structural relaxation. Source: Alexandria, functional PBE.

Cell: 8.3411 8.3411 8.3411 Å, 21.01 21.01 21.01°
With the nearest neighbours (Å) after each atom.
Positions (direct):
Cu1 0.2500 0.2500 0.2500  6 Au 2.69
Au1 0.9998 0.9998 0.9998  3 Cu 2.69, 3 P 2.69
Au2 0.5002 0.5002 0.5002  3 Cu 2.69, 3 P 2.69
P1 0.7500 0.7500 0.7500  6 Au 2.69

N(E_F) (states/eV/atom): 0.235
Uncorrected energy (eV per atom): -3.77
V (Å³ per atom): 16.3
SG: No. 166
Formation enthalpy at 0 K (eV per atom): 0.2458

***

(3)
CuP2Au after structural relaxation. Source: Alexandria, functional PBE.

Cell: 2.8856 2.8856 8.0854 Å, 90.00 90.00 114.50°
With the nearest neighbours (Å) after each atom.
Positions (direct):
P1 0.5000 0.5000 0.2177  2 P 2.37
P2 0.0000 0.0000 0.9973  2 P 2.37, 2 Cu 2.39
Au1 0.0000 0.0000 0.5111  2 Cu 2.64, 2 P 2.84, 4 Au 2.89
Cu1 0.5000 0.5000 0.7739  2 P 2.39, 2 Au 2.64

N(E_F) (states/eV/atom): 0.493
Uncorrected energy (eV per atom): -4.14
V (Å³ per atom): 15.3
Energy relative to the lowest polymorph listed for this composition (eV/atom): 0.428
SG: No. 35
Formation enthalpy at 0 K (eV per atom): 0.4106